The following is a PBE calculation of crystalline NiAg2Pt2 at its relaxed geometry, from the Alexandria database.

Lattice parameters (Å, degrees): 3.6179 3.6179 7.5132 76.07 76.07 90.00
With the nearest neighbours (Å) after each atom.
Fractional coordinates of all 5 atoms:
Ag 0.4061 0.4061 0.1877  1 Ag 2.65, 4 Pt 2.85, 4 Ni 2.88
Pt 0.2500 0.7500 0.5000  4 Pt 2.56, 4 Ag 2.85
Pt 0.7500 0.2500 0.5000  4 Pt 2.56, 4 Ag 2.85
Ag 0.5939 0.5939 0.8123  1 Ag 2.65, 4 Pt 2.85, 4 Ni 2.88
Ni 0.0000 0.0000 0.0000  8 Ag 2.88

The value obtained for the calculated formation energy is 0.558 eV/atom. As for the space group: I4/mmm, No. 139. The final energy comes out at -4.16 eV per atom. The density is 11.9 g/cm3. As for the size of the total moment: 0.68 Bohr magnetons per cell.

The following is a PBE calculation of crystalline LiCo at its relaxed geometry, from the Alexandria database.

Lattice parameters (Å, degrees): 4.7465 4.7465 4.7276 90.00 90.00 90.00
With the nearest neighbours (Å) after each atom.
Fractional coordinates of all 8 atoms:
Co 0.8348 0.1652 0.5000  1 Co 2.22, 4 Li 2.37-2.42
Li 0.6792 0.6792 0.5000  6 Co 2.37-2.55, 1 Li 2.41
Co 0.6652 0.6652 0.0000  1 Co 2.22, 4 Li 2.37-2.42
Co 0.3348 0.3348 0.0000  1 Co 2.22, 4 Li 2.37-2.42
Li 0.8208 0.1792 0.0000  6 Co 2.37-2.55, 1 Li 2.41
Li 0.1792 0.8208 0.0000  6 Co 2.37-2.55, 1 Li 2.41
Co 0.1652 0.8348 0.5000  1 Co 2.22, 4 Li 2.37-2.42
Li 0.3208 0.3208 0.5000  6 Co 2.37-2.55, 1 Li 2.41

The value obtained for the calculated formation energy is 0.705 eV/atom. As for the space group: P4_2/mnm, No. 136. The final energy comes out at -3.81 eV per atom. The density is 4.1 g/cm3. As for the size of the total moment: 6.84 Bohr magnetons per cell.

The following is a PBE calculation of crystalline Cs3NaTl at its relaxed geometry, from the Alexandria database.

Lattice parameters (Å, degrees): 5.4696 11.4425 11.9393 94.06 89.99 103.84
With the nearest neighbours (Å) after each atom.
Fractional coordinates of all 10 atoms:
Tl 0.7994 0.6318 0.7552  2 Tl 3.15
Cs 0.6255 0.2851 0.7692  3 Tl 3.87-4.05
Na 0.6063 0.2478 0.1354  1 Na 4.32, 8 Cs 4.38-4.81
Tl 0.2445 0.5221 0.6663  2 Tl 3.15
Cs 0.7794 0.5906 0.4061  3 Tl 4.16-4.25
Cs 0.2646 0.5635 0.0153  3 Tl 4.16-4.25
Cs 0.9567 0.9469 0.0047  4 Na 4.38-4.51, 1 Tl 4.43
Cs 0.0873 0.2073 0.4170  4 Na 4.38-4.51, 1 Tl 4.42
Cs 0.4184 0.8689 0.6524  3 Tl 3.87-4.05
Na 0.4377 0.9064 0.2862  1 Na 4.32, 8 Cs 4.38-4.81

The value obtained for the calculated formation energy is -0.019 eV/atom. As for the space group: P-1, No. 2. The final energy comes out at -1.27 eV per atom. The density is 2.9 g/cm3. As for the size of the total moment: 0.00 Bohr magnetons per cell.

The following is a PBE calculation of crystalline LaIr2Cl2 at its relaxed geometry, from the Alexandria database.

Lattice parameters (Å, degrees): 7.9051 7.9051 3.3042 90.00 90.00 90.00
With the nearest neighbours (Å) after each atom.
Fractional coordinates of all 10 atoms:
Ir 0.3919 0.1081 0.5000  2 Cl 2.41, 1 Ir 2.42
La 0.0000 0.0000 0.0000  4 Cl 2.80
Ir 0.8919 0.3919 0.5000  2 Cl 2.41, 1 Ir 2.42
Cl 0.7345 0.2345 0.0000  2 Ir 2.41
Ir 0.1081 0.6081 0.5000  2 Cl 2.41, 1 Ir 2.42
Cl 0.7655 0.7345 0.0000  2 Ir 2.41
Cl 0.2345 0.2655 0.0000  2 Ir 2.41
Ir 0.6081 0.8919 0.5000  2 Cl 2.41, 1 Ir 2.42
Cl 0.2655 0.7655 0.0000  2 Ir 2.41
La 0.5000 0.5000 0.0000  4 Cl 2.80

As for the space group: P4/mbm, No. 127. The final energy comes out at -5.24 eV per atom. The density is 9.6 g/cm3. As for the size of the total moment: 0.00 Bohr magnetons per cell. Its uncorrected formation energy is 0.0322 eV/atom.

What did the third record say?
The following is a PBE calculation of crystalline Cs3NaTl at its relaxed geometry, from the Alexandria database.

Lattice parameters (Å, degrees): 5.4696 11.4425 11.9393 94.06 89.99 103.84
With the nearest neighbours (Å) after each atom.
Fractional coordinates of all 10 atoms:
Tl 0.7994 0.6318 0.7552  2 Tl 3.15
Cs 0.6255 0.2851 0.7692  3 Tl 3.87-4.05
Na 0.6063 0.2478 0.1354  1 Na 4.32, 8 Cs 4.38-4.81
Tl 0.2445 0.5221 0.6663  2 Tl 3.15
Cs 0.7794 0.5906 0.4061  3 Tl 4.16-4.25
Cs 0.2646 0.5635 0.0153  3 Tl 4.16-4.25
Cs 0.9567 0.9469 0.0047  4 Na 4.38-4.51, 1 Tl 4.43
Cs 0.0873 0.2073 0.4170  4 Na 4.38-4.51, 1 Tl 4.42
Cs 0.4184 0.8689 0.6524  3 Tl 3.87-4.05
Na 0.4377 0.9064 0.2862  1 Na 4.32, 8 Cs 4.38-4.81

The value obtained for the calculated formation energy is -0.019 eV/atom. As for the space group: P-1, No. 2. The final energy comes out at -1.27 eV per atom. The density is 2.9 g/cm3. As for the size of the total moment: 0.00 Bohr magnetons per cell.

What did the first record say?
The following is a PBE calculation of crystalline NiAg2Pt2 at its relaxed geometry, from the Alexandria database.

Lattice parameters (Å, degrees): 3.6179 3.6179 7.5132 76.07 76.07 90.00
With the nearest neighbours (Å) after each atom.
Fractional coordinates of all 5 atoms:
Ag 0.4061 0.4061 0.1877  1 Ag 2.65, 4 Pt 2.85, 4 Ni 2.88
Pt 0.2500 0.7500 0.5000  4 Pt 2.56, 4 Ag 2.85
Pt 0.7500 0.2500 0.5000  4 Pt 2.56, 4 Ag 2.85
Ag 0.5939 0.5939 0.8123  1 Ag 2.65, 4 Pt 2.85, 4 Ni 2.88
Ni 0.0000 0.0000 0.0000  8 Ag 2.88

The value obtained for the calculated formation energy is 0.558 eV/atom. As for the space group: I4/mmm, No. 139. The final energy comes out at -4.16 eV per atom. The density is 11.9 g/cm3. As for the size of the total moment: 0.68 Bohr magnetons per cell.

Question: What is the size of the total moment in the first record?
Answer: 0.68 Bohr magnetons per cell